[1]
# MnCo2Ag PBE-GGA optimized geometry
data_MnCo2Ag
_symmetry_space_group_name_H-M 'C 1 m 1'
_symmetry_Int_Tables_number 8
_symmetry_space_group_name_Hall 'C -2y'
_cell_length_a 9.4687
_cell_length_b 2.9628
_cell_length_c 4.2853
_cell_angle_alpha 90.00
_cell_angle_beta 116.67
_cell_angle_gamma 90.00
loop_
_atom_site_label
_atom_site_fract_x
_atom_site_fract_y
_atom_site_fract_z
_atom_site_occupancy
Mn1 0.0000 0.0000 0.0000 1
Co1 0.2478 0.5000 0.2473 1
Co2 0.4675 0.0000 0.4670 1
Ag1 0.2305 0.0000 0.7299 1
# E_form   304 meV/atom
# Calculated total energy   -6.254 eV per atom
# Energy above the lowest structure with this stoichiometry   95.2 meV/atom

[2]
# MnCo2Ag PBE-GGA optimized geometry
data_MnCo2Ag
_symmetry_space_group_name_H-M 'C m m m'
_symmetry_Int_Tables_number 65
_symmetry_space_group_name_Hall '-C 2 2'
_cell_length_a 5.3200
_cell_length_b 7.3894
_cell_length_c 2.7203
_cell_angle_alpha 90.00
_cell_angle_beta 90.00
_cell_angle_gamma 90.00
loop_
_atom_site_label
_atom_site_fract_x
_atom_site_fract_y
_atom_site_fract_z
_atom_site_occupancy
Mn1 0.0000 0.0000 0.0000 1
Co1 0.2500 0.2500 0.5000 1
Ag1 0.0000 0.5000 0.0000 1
# E_form   371 meV/atom
# Calculated total energy   -6.187 eV per atom
# Energy above the lowest structure with this stoichiometry   161.7 meV/atom

[3]
# MnCo2Ag PBE-GGA optimized geometry
data_MnCo2Ag
_symmetry_space_group_name_H-M 'F -4 3 m'
_symmetry_Int_Tables_number 216
_symmetry_space_group_name_Hall 'F -4 2 3'
_cell_length_a 6.0107
_cell_length_b 6.0107
_cell_length_c 6.0107
_cell_angle_alpha 90.00
_cell_angle_beta 90.00
_cell_angle_gamma 90.00
loop_
_atom_site_label
_atom_site_fract_x
_atom_site_fract_y
_atom_site_fract_z
_atom_site_occupancy
Mn1 0.0000 0.0000 0.0000 1
Co1 0.0000 0.0000 0.5000 1
Co2 0.2500 0.2500 0.2500 1
Ag1 0.2500 0.2500 0.7500 1
# E_form   361 meV/atom
# Calculated total energy   -6.197 eV per atom
# Energy above the lowest structure with this stoichiometry   152.3 meV/atom

[4]
# MnCo2Ag2 PBE-GGA optimized geometry
data_MnCo2Ag2
_symmetry_space_group_name_H-M 'I 4/m m m'
_symmetry_Int_Tables_number 139
_symmetry_space_group_name_Hall '-I 4 2'
_cell_length_a 3.2966
_cell_length_b 3.2966
_cell_length_c 14.5036
_cell_angle_alpha 90.00
_cell_angle_beta 90.00
_cell_angle_gamma 90.00
loop_
_atom_site_label
_atom_site_fract_x
_atom_site_fract_y
_atom_site_fract_z
_atom_site_occupancy
Mn1 0.0000 0.0000 0.0000 1
Co1 0.0000 0.5000 0.2500 1
Ag1 0.0000 0.0000 0.3985 1
# E_form   517 meV/atom
# Calculated total energy   -5.300 eV per atom
# Energy above the lowest structure with this stoichiometry   0.0 meV/atom

[5]
# MnCo2Ag PBE-GGA optimized geometry
data_MnCo2Ag
_symmetry_space_group_name_H-M 'P 4/m m m'
_symmetry_Int_Tables_number 123
_symmetry_space_group_name_Hall '-P 4 2'
_cell_length_a 3.7359
_cell_length_b 3.7359
_cell_length_c 3.8343
_cell_angle_alpha 90.00
_cell_angle_beta 90.00
_cell_angle_gamma 90.00
loop_
_atom_site_label
_atom_site_fract_x
_atom_site_fract_y
_atom_site_fract_z
_atom_site_occupancy
Mn1 0.0000 0.0000 0.0000 1
Co1 0.0000 0.5000 0.5000 1
Ag1 0.5000 0.5000 0.0000 1
# E_form   321 meV/atom
# Calculated total energy   -6.237 eV per atom
# Energy above the lowest structure with this stoichiometry   112.1 meV/atom

[6]
# MnCo2Ag PBE-GGA optimized geometry
data_MnCo2Ag
_symmetry_space_group_name_H-M 'R -3 m'
_symmetry_Int_Tables_number 166
_symmetry_space_group_name_Hall '-R 3 2"'
_cell_length_a 2.6909
_cell_length_b 2.6909
_cell_length_c 24.9761
_cell_angle_alpha 90.00
_cell_angle_beta 90.00
_cell_angle_gamma 120.00
loop_
_atom_site_label
_atom_site_fract_x
_atom_site_fract_y
_atom_site_fract_z
_atom_site_occupancy
Mn1 0.0000 0.0000 0.0000 1
Co1 0.0000 0.0000 0.2599 1
Ag1 0.0000 0.0000 0.5000 1
# E_form   308 meV/atom
# Calculated total energy   -6.251 eV per atom
# Energy above the lowest structure with this stoichiometry   98.5 meV/atom

[7]
# MnCoAg3 PBE-GGA optimized geometry
data_MnCoAg3
_symmetry_space_group_name_H-M 'P m -3 m'
_symmetry_Int_Tables_number 221
_symmetry_space_group_name_Hall '-P 4 2 3'
_cell_length_a 4.7424
_cell_length_b 4.7424
_cell_length_c 4.7424
_cell_angle_alpha 90.00
_cell_angle_beta 90.00
_cell_angle_gamma 90.00
loop_
_atom_site_label
_atom_site_fract_x
_atom_site_fract_y
_atom_site_fract_z
_atom_site_occupancy
Mn1 0.0000 0.0000 0.0000 1
Co1 0.5000 0.5000 0.5000 1
Ag1 0.0000 0.5000 0.5000 1
# E_form   1144 meV/atom
# Calculated total energy   -3.822 eV per atom
# Energy above the lowest structure with this stoichiometry   0.0 meV/atom

[8]
# MnCo2AgMo PBE-GGA optimized geometry
data_MnCo2AgMo
_symmetry_space_group_name_H-M 'P 4/m m m'
_symmetry_Int_Tables_number 123
_symmetry_space_group_name_Hall '-P 4 2'
_cell_length_a 4.3089
_cell_length_b 4.3089
_cell_length_c 5.0461
_cell_angle_alpha 90.00
_cell_angle_beta 90.00
_cell_angle_gamma 90.00
loop_
_atom_site_label
_atom_site_fract_x
_atom_site_fract_y
_atom_site_fract_z
_atom_site_occupancy
Mn1 0.0000 0.0000 0.0000 1
Co1 0.0000 0.5000 0.5000 1
Ag1 0.5000 0.5000 0.0000 1
Mo1 0.5000 0.5000 0.5000 1
# E_form   1959 meV/atom
# Calculated total energy   -5.454 eV per atom

[9]
# Na2MnCoAg PBE-GGA optimized geometry
data_Na2MnCoAg
_symmetry_space_group_name_H-M 'P 4/m m m'
_symmetry_Int_Tables_number 123
_symmetry_space_group_name_Hall '-P 4 2'
_cell_length_a 5.0648
_cell_length_b 5.0648
_cell_length_c 4.8720
_cell_angle_alpha 90.00
_cell_angle_beta 90.00
_cell_angle_gamma 90.00
loop_
_atom_site_label
_atom_site_fract_x
_atom_site_fract_y
_atom_site_fract_z
_atom_site_occupancy
Na1 0.0000 0.5000 0.0000 1
Mn1 0.0000 0.0000 0.5000 1
Co1 0.5000 0.5000 0.0000 1
Ag1 0.5000 0.5000 0.5000 1
# E_form   1162 meV/atom
# Calculated total energy   -3.191 eV per atom

[10]
# MnCoAg2Sn PBE-GGA optimized geometry
data_MnCoAg2Sn
_symmetry_space_group_name_H-M 'P 4/m m m'
_symmetry_Int_Tables_number 123
_symmetry_space_group_name_Hall '-P 4 2'
_cell_length_a 5.1223
_cell_length_b 5.1223
_cell_length_c 5.0688
_cell_angle_alpha 90.00
_cell_angle_beta 90.00
_cell_angle_gamma 90.00
loop_
_atom_site_label
_atom_site_fract_x
_atom_site_fract_y
_atom_site_fract_z
_atom_site_occupancy
Mn1 0.0000 0.0000 0.0000 1
Co1 0.5000 0.5000 0.0000 1
Ag1 0.0000 0.5000 0.5000 1
Sn1 0.0000 0.0000 0.5000 1
# E_form   1303 meV/atom
# Calculated total energy   -3.894 eV per atom

[11]
# Co3AgMo PBE-GGA optimized geometry
data_Co3AgMo
_symmetry_space_group_name_H-M 'P m -3 m'
_symmetry_Int_Tables_number 221
_symmetry_space_group_name_Hall '-P 4 2 3'
_cell_length_a 4.4101
_cell_length_b 4.4101
_cell_length_c 4.4101
_cell_angle_alpha 90.00
_cell_angle_beta 90.00
_cell_angle_gamma 90.00
loop_
_atom_site_label
_atom_site_fract_x
_atom_site_fract_y
_atom_site_fract_z
_atom_site_occupancy
Co1 0.0000 0.0000 0.5000 1
Ag1 0.5000 0.5000 0.5000 1
Mo1 0.0000 0.0000 0.0000 1
# E_form   1393 meV/atom
# Calculated total energy   -5.607 eV per atom
# Energy above the lowest structure with this stoichiometry   0.0 meV/atom

[12]
# Co2AgMo2 PBE-GGA optimized geometry
data_Co2AgMo2
_symmetry_space_group_name_H-M 'P 4/m b m'
_symmetry_Int_Tables_number 127
_symmetry_space_group_name_Hall '-P 4 2ab'
_cell_length_a 7.2229
_cell_length_b 7.2229
_cell_length_c 2.7017
_cell_angle_alpha 90.00
_cell_angle_beta 90.00
_cell_angle_gamma 90.00
loop_
_atom_site_label
_atom_site_fract_x
_atom_site_fract_y
_atom_site_fract_z
_atom_site_occupancy
Co1 0.1246 0.3754 0.0000 1
Ag1 0.0000 0.0000 0.0000 1
Mo1 0.1674 0.6674 0.5000 1
# E_form   205 meV/atom
# Calculated total energy   -7.540 eV per atom
# Energy above the lowest structure with this stoichiometry   0.0 meV/atom